## Ho3ScAg4 (PBE)

Data for a relaxed structure of Ho3ScAg4.

Formation energy from the elements = -0.308 eV/atom

```
data_Ho3ScAg4
_chemical_formula_sum 'Ho3 Sc1 Ag4'
_cell_length_a 3.576
_cell_length_b 3.576
_cell_length_c 14.284
_cell_angle_alpha 90.00
_cell_angle_beta 90.00
_cell_angle_gamma 90.00
_symmetry_space_group_name_H-M 'P 4/m m m'
_symmetry_Int_Tables_number 123
_symmetry_space_group_name_Hall '-P 4 2'
loop_
_atom_site_label
_atom_site_fract_x
_atom_site_fract_y
_atom_site_fract_z
Ho1 0.000 0.000 0.000
Ho2 0.000 0.000 0.257
Sc1 0.000 0.000 0.500
Ag1 0.500 0.500 0.128
Ag2 0.500 0.500 0.388
```

=====

## AsOs2Pb (PBE)

Data for a relaxed structure of AsOs2Pb.

Formation energy from the elements = 0.728 eV/atom
Distance to the lowest polymorph of the same formula = 31.6 kJ per mole of atoms

```
data_AsOs2Pb
_chemical_formula_sum 'As3 Os6 Pb3'
_cell_length_a 3.0441
_cell_length_b 3.0441
_cell_length_c 26.0347
_cell_angle_alpha 90.00
_cell_angle_beta 90.00
_cell_angle_gamma 120.00
_symmetry_space_group_name_H-M 'R -3 m'
_symmetry_Int_Tables_number 166
_symmetry_space_group_name_Hall '-R 3 2"'
loop_
_atom_site_label
_atom_site_fract_x
_atom_site_fract_y
_atom_site_fract_z
As1 0.0000 0.0000 0.0000
Os1 0.0000 0.0000 0.2635
Pb1 0.0000 0.0000 0.5000
```

=====

## KLi2GeAu (PBE)

Data for a relaxed structure of KLi2GeAu.

Formation energy from the elements = -0.178 eV/atom
Distance to the lowest polymorph of the same formula = 3.4 kJ per mole of atoms

```
data_KLi2GeAu
_chemical_formula_sum 'K1 Li2 Ge1 Au1'
_cell_length_a 5.146
_cell_length_b 5.146
_cell_length_c 4.988
_cell_angle_alpha 90.00
_cell_angle_beta 90.00
_cell_angle_gamma 90.00
_symmetry_space_group_name_H-M 'P 4/m m m'
_symmetry_Int_Tables_number 123
_symmetry_space_group_name_Hall '-P 4 2'
loop_
_atom_site_label
_atom_site_fract_x
_atom_site_fract_y
_atom_site_fract_z
K1 0.000 0.000 0.000
Li1 0.000 0.500 0.500
Ge1 0.500 0.500 0.000
Au1 0.500 0.500 0.500
```

=====

## Dy2Er4Se9 (PBE)

Data for a relaxed structure of Dy2Er4Se9.

Raw formation energy = -1.8540 eV/atom

```
data_Dy2Er4Se9
_chemical_formula_sum 'Dy4 Er8 Se18'
_cell_length_a 7.153
_cell_length_b 7.155
_cell_length_c 19.391
_cell_angle_alpha 89.99
_cell_angle_beta 89.97
_cell_angle_gamma 60.03
_symmetry_space_group_name_H-M 'P -1'
_symmetry_Int_Tables_number 2
loop_
_symmetry_equiv_pos_as_xyz
'x,y,z'
'-x,-y,-z'
loop_
_atom_site_label
_atom_site_fract_x
_atom_site_fract_y
_atom_site_fract_z
Dy1 0.000 0.001 0.152
Dy2 0.001 0.999 0.348
Er1 0.332 0.334 0.819
Er2 0.333 0.334 0.014
Er3 0.334 0.333 0.319
Er4 0.334 0.333 0.514
Se1 0.001 0.307 0.250
Se2 0.027 0.335 0.917
Se3 0.027 0.636 0.417
Se4 0.307 0.000 0.750
Se5 0.308 0.692 0.250
Se6 0.336 0.636 0.917
Se7 0.337 0.026 0.417
Se8 0.362 0.664 0.583
Se9 0.364 0.972 0.083
```

=====

## Ba2Tl3CdAg4 (PBE)

Data for a relaxed structure of Ba2Tl3CdAg4.

Formation energy from the elements = -0.187 eV/atom

```
data_Ba2Tl3CdAg4
_chemical_formula_sum 'Ba2 Tl3 Cd1 Ag4'
_cell_length_a 4.840
_cell_length_b 4.840
_cell_length_c 12.250
_cell_angle_alpha 90.00
_cell_angle_beta 90.00
_cell_angle_gamma 90.00
_symmetry_space_group_name_H-M 'P -4 m 2'
_symmetry_Int_Tables_number 115
loop_
_symmetry_equiv_pos_as_xyz
'x,y,z'
'y,-x,-z'
'-x,-y,z'
'-y,x,-z'
'-x,y,z'
'-y,-x,-z'
'x,-y,z'
'y,x,-z'
loop_
_atom_site_label
_atom_site_fract_x
_atom_site_fract_y
_atom_site_fract_z
Ba1 0.000 0.500 0.245
Tl1 0.000 0.500 0.870
Tl2 0.500 0.500 0.500
Cd1 0.000 0.000 0.500
Ag1 0.000 0.000 0.000
Ag2 0.000 0.500 0.636
Ag3 0.500 0.500 0.000
```

=====

## TlRh2Br (PBE)

Data for a relaxed structure of TlRh2Br.

Distance to the lowest polymorph of the same formula = 16.0 kJ per mole of atoms
Raw formation energy = 0.4035 eV/atom

```
data_TlRh2Br
_chemical_formula_sum 'Tl2 Rh4 Br2'
_cell_length_a 8.763
_cell_length_b 3.196
_cell_length_c 5.525
_cell_angle_alpha 90.00
_cell_angle_beta 105.68
_cell_angle_gamma 90.00
_symmetry_space_group_name_H-M 'C 1 2/m 1'
_symmetry_Int_Tables_number 12
loop_
_symmetry_equiv_pos_as_xyz
'x,y,z'
'-x,-y,-z'
'-x,y,-z'
'x,-y,z'
'x+1/2,y+1/2,z'
'-x+1/2,-y+1/2,-z'
'-x+1/2,y+1/2,-z'
'x+1/2,-y+1/2,z'
loop_
_atom_site_label
_atom_site_fract_x
_atom_site_fract_y
_atom_site_fract_z
Tl1 0.000 0.000 0.000
Rh1 0.247 0.000 0.749
Br1 0.000 0.500 0.500
```

=====

## Ga12Hg3O5 (PBE)

Data for a relaxed structure of Ga12Hg3O5.

Raw formation energy = -0.3148 eV/atom

```
data_Ga12Hg3O5
_chemical_formula_sum 'Ga96 Hg24 O40'
_cell_length_a 14.467
_cell_length_b 14.467
_cell_length_c 14.467
_cell_angle_alpha 90.00
_cell_angle_beta 90.00
_cell_angle_gamma 90.00
_symmetry_space_group_name_H-M 'I a -3 d'
_symmetry_Int_Tables_number 230
_symmetry_space_group_name_Hall '-I 4bd 2c 3'
loop_
_atom_site_label
_atom_site_fract_x
_atom_site_fract_y
_atom_site_fract_z
Ga1 0.034 0.058 0.651
Hg1 0.000 0.250 0.125
O1 0.000 0.000 0.000
O2 0.000 0.250 0.375
```

=====

## Pa2MnGa (PBE)

Data for a relaxed structure of Pa2MnGa.

Formation energy from the elements = -0.107 eV/atom
Distance to the lowest polymorph of the same formula = 6.2 kJ per mole of atoms

```
data_Pa2MnGa
_chemical_formula_sum 'Pa2 Mn1 Ga1'
_cell_length_a 3.741
_cell_length_b 3.760
_cell_length_c 5.935
_cell_angle_alpha 82.62
_cell_angle_beta 82.66
_cell_angle_gamma 88.96
_symmetry_space_group_name_H-M 'P -1'
_symmetry_Int_Tables_number 2
loop_
_symmetry_equiv_pos_as_xyz
'x,y,z'
'-x,-y,-z'
loop_
_atom_site_label
_atom_site_fract_x
_atom_site_fract_y
_atom_site_fract_z
Pa1 0.081 0.081 0.209
Mn1 0.500 0.500 0.000
Ga1 0.500 0.500 0.500
```

=====

## LiCaDy2Tl4 (PBE)

Data for a relaxed structure of LiCaDy2Tl4.

Formation energy from the elements = -0.330 eV/atom

```
data_LiCaDy2Tl4
_chemical_formula_sum 'Li3 Ca3 Dy6 Tl12'
_cell_length_a 5.2951
_cell_length_b 5.2951
_cell_length_c 26.3306
_cell_angle_alpha 90.00
_cell_angle_beta 90.00
_cell_angle_gamma 120.00
_symmetry_space_group_name_H-M 'R -3 m'
_symmetry_Int_Tables_number 166
_symmetry_space_group_name_Hall '-R 3 2"'
loop_
_atom_site_label
_atom_site_fract_x
_atom_site_fract_y
_atom_site_fract_z
Li1 0.0000 0.0000 0.0000
Ca1 0.0000 0.0000 0.5000
Dy1 0.0000 0.0000 0.2530
Tl1 0.0000 0.0000 0.1212
Tl2 0.0000 0.0000 0.3726
```

=====

## NpTl2PdO6 (PBE)

Data for a relaxed structure of NpTl2PdO6.

Raw formation energy = -1.4021 eV/atom

```
data_NpTl2PdO6
_chemical_formula_sum 'Np2 Tl4 Pd2 O12'
_cell_length_a 5.736
_cell_length_b 5.736
_cell_length_c 10.458
_cell_angle_alpha 90.00
_cell_angle_beta 90.00
_cell_angle_gamma 90.00
_symmetry_space_group_name_H-M 'I 4/m m m'
_symmetry_Int_Tables_number 139
_symmetry_space_group_name_Hall '-I 4 2'
loop_
_atom_site_label
_atom_site_fract_x
_atom_site_fract_y
_atom_site_fract_z
Np1 0.000 0.000 0.000
Tl1 0.000 0.500 0.250
Pd1 0.000 0.000 0.500
O1 0.000 0.000 0.182
O2 0.243 0.243 0.500
```

=====

## SrMoPd (PBE)

Data for a relaxed structure of SrMoPd.

Formation energy from the elements = 0.097 eV/atom
Distance to the lowest polymorph of the same formula = 3.2 kJ per mole of atoms

```
data_SrMoPd
_chemical_formula_sum 'Sr4 Mo4 Pd4'
_cell_length_a 8.360
_cell_length_b 3.495
_cell_length_c 9.519
_cell_angle_alpha 90.00
_cell_angle_beta 90.00
_cell_angle_gamma 90.00
_symmetry_space_group_name_H-M 'P n m a'
_symmetry_Int_Tables_number 62
loop_
_symmetry_equiv_pos_as_xyz
'x,y,z'
'-x,-y,-z'
'-x+1/2,-y,z+1/2'
'x+1/2,y,-z+1/2'
'x+1/2,-y+1/2,-z+1/2'
'-x+1/2,y+1/2,z+1/2'
'-x,y+1/2,-z'
'x,-y+1/2,z'
loop_
_atom_site_label
_atom_site_fract_x
_atom_site_fract_y
_atom_site_fract_z
Sr1 0.073 0.250 0.172
Mo1 0.088 0.250 0.539
Pd1 0.237 0.250 0.871
```

=====

## Sc2NbCCl (PBE)

Data for a relaxed structure of Sc2NbCCl.

Raw formation energy = 0.6619 eV/atom

```
data_Sc2NbCCl
_chemical_formula_sum 'Sc2 Nb1 C1 Cl1'
_cell_length_a 4.319
_cell_length_b 4.319
_cell_length_c 5.783
_cell_angle_alpha 90.00
_cell_angle_beta 90.00
_cell_angle_gamma 90.00
_symmetry_space_group_name_H-M 'P 4/m m m'
_symmetry_Int_Tables_number 123
_symmetry_space_group_name_Hall '-P 4 2'
loop_
_atom_site_label
_atom_site_fract_x
_atom_site_fract_y
_atom_site_fract_z
Sc1 0.000 0.500 0.000
Nb1 0.000 0.000 0.500
C1 0.500 0.500 0.000
Cl1 0.500 0.500 0.500
```

=====

## Be2SiNi2 (PBE)

Data for a relaxed structure of Be2SiNi2.

Distance to the lowest polymorph of the same formula = 0.0 kJ per mole of atoms
Raw formation energy = -0.3923 eV/atom

```
data_Be2SiNi2
_chemical_formula_sum 'Be4 Si2 Ni4'
_cell_length_a 7.132
_cell_length_b 3.506
_cell_length_c 5.095
_cell_angle_alpha 90.00
_cell_angle_beta 129.60
_cell_angle_gamma 90.00
_symmetry_space_group_name_H-M 'C 1 2/m 1'
_symmetry_Int_Tables_number 12
loop_
_symmetry_equiv_pos_as_xyz
'x,y,z'
'-x,-y,-z'
'-x,y,-z'
'x,-y,z'
'x+1/2,y+1/2,z'
'-x+1/2,-y+1/2,-z'
'-x+1/2,y+1/2,-z'
'x+1/2,-y+1/2,z'
loop_
_atom_site_label
_atom_site_fract_x
_atom_site_fract_y
_atom_site_fract_z
Be1 0.190 0.000 0.100
Si1 0.000 0.000 0.500
Ni1 0.083 0.500 0.303
```

=====

## PaZn2Cu2O7 (PBE)

Data for a relaxed structure of PaZn2Cu2O7.

Raw formation energy = -1.3996 eV/atom

```
data_PaZn2Cu2O7
_chemical_formula_sum 'Pa3 Zn6 Cu6 O21'
_cell_length_a 5.3378
_cell_length_b 5.3378
_cell_length_c 25.0033
_cell_angle_alpha 90.00
_cell_angle_beta 90.00
_cell_angle_gamma 120.00
_symmetry_space_group_name_H-M 'R 3 2'
_symmetry_Int_Tables_number 155
_symmetry_space_group_name_Hall 'R 3 2"'
loop_
_atom_site_label
_atom_site_fract_x
_atom_site_fract_y
_atom_site_fract_z
Pa1 0.0000 0.0000 0.0000
Zn1 0.0000 0.0000 0.4266
Cu1 0.0000 0.0000 0.2733
O1 0.0000 0.0000 0.5000
O2 0.0088 0.3525 0.7227
```

=====

## CeHoAgPd (PBE)

Data for a relaxed structure of CeHoAgPd.

Formation energy from the elements = -0.447 eV/atom

```
data_CeHoAgPd
_chemical_formula_sum 'Ce4 Ho4 Ag4 Pd4'
_cell_length_a 7.218
_cell_length_b 7.218
_cell_length_c 7.218
_cell_angle_alpha 90.00
_cell_angle_beta 90.00
_cell_angle_gamma 90.00
_symmetry_space_group_name_H-M 'F -4 3 m'
_symmetry_Int_Tables_number 216
_symmetry_space_group_name_Hall 'F -4 2 3'
loop_
_atom_site_label
_atom_site_fract_x
_atom_site_fract_y
_atom_site_fract_z
Ce1 0.000 0.000 0.000
Ho1 0.000 0.000 0.500
Ag1 0.250 0.250 0.750
Pd1 0.250 0.250 0.250
```

=====

## Y2AlCdMo (PBE)

Data for a relaxed structure of Y2AlCdMo.

Formation energy from the elements = 0.641 eV/atom

```
data_Y2AlCdMo
_chemical_formula_sum 'Y2 Al1 Cd1 Mo1'
_cell_length_a 5.211
_cell_length_b 5.211
_cell_length_c 5.366
_cell_angle_alpha 90.00
_cell_angle_beta 90.00
_cell_angle_gamma 90.00
_symmetry_space_group_name_H-M 'P 4/m m m'
_symmetry_Int_Tables_number 123
_symmetry_space_group_name_Hall '-P 4 2'
loop_
_atom_site_label
_atom_site_fract_x
_atom_site_fract_y
_atom_site_fract_z
Y1 0.000 0.500 0.000
Al1 0.000 0.000 0.500
Cd1 0.500 0.500 0.500
Mo1 0.500 0.500 0.000
```

=====

## V6TcIr5 (PBE)

Data for a relaxed structure of V6TcIr5.

Formation energy from the elements = -0.417 eV/atom

```
data_V6TcIr5
_chemical_formula_sum 'V6 Tc1 Ir5'
_cell_length_a 4.474
_cell_length_b 5.710
_cell_length_c 6.781
_cell_angle_alpha 90.00
_cell_angle_beta 104.38
_cell_angle_gamma 90.00
_symmetry_space_group_name_H-M 'P 1 2/m 1'
_symmetry_Int_Tables_number 10
loop_
_symmetry_equiv_pos_as_xyz
'x,y,z'
'-x,-y,-z'
'-x,y,-z'
'x,-y,z'
loop_
_atom_site_label
_atom_site_fract_x
_atom_site_fract_y
_atom_site_fract_z
V1 0.000 0.248 0.000
V2 0.387 0.249 0.645
Tc1 0.500 0.000 0.000
Ir1 0.096 0.500 0.317
Ir2 0.103 0.000 0.320
Ir3 0.500 0.500 0.000
```

=====

## TbFeRh (PBE)

Data for a relaxed structure of TbFeRh.

Formation energy from the elements = -0.328 eV/atom

```
data_TbFeRh
_chemical_formula_sum 'Tb4 Fe4 Rh4'
_cell_length_a 9.976
_cell_length_b 4.034
_cell_length_c 5.457
_cell_angle_alpha 90.00
_cell_angle_beta 93.98
_cell_angle_gamma 90.00
_symmetry_space_group_name_H-M 'C 1 m 1'
_symmetry_Int_Tables_number 8
loop_
_symmetry_equiv_pos_as_xyz
'x,y,z'
'x,-y,z'
'x+1/2,y+1/2,z'
'x+1/2,-y+1/2,z'
loop_
_atom_site_label
_atom_site_fract_x
_atom_site_fract_y
_atom_site_fract_z
Tb1 0.000 0.000 0.000
Tb2 0.099 0.500 0.517
Fe1 0.305 0.000 0.259
Fe2 0.375 0.500 0.482
Rh1 0.216 0.500 0.038
Rh2 0.310 0.000 0.743
```

=====

## CeSmDy2Tm (PBE)

Data for a relaxed structure of CeSmDy2Tm.

Formation energy from the elements = 0.289 eV/atom

```
data_CeSmDy2Tm
_chemical_formula_sum 'Ce2 Sm2 Dy4 Tm2'
_cell_length_a 5.853
_cell_length_b 7.738
_cell_length_c 7.150
_cell_angle_alpha 90.00
_cell_angle_beta 90.00
_cell_angle_gamma 90.00
_symmetry_space_group_name_H-M 'P m m a'
_symmetry_Int_Tables_number 51
loop_
_symmetry_equiv_pos_as_xyz
'x,y,z'
'-x,-y,-z'
'-x+1/2,-y,z'
'x+1/2,y,-z'
'x+1/2,-y,-z'
'-x+1/2,y,z'
'-x,y,-z'
'x,-y,z'
loop_
_atom_site_label
_atom_site_fract_x
_atom_site_fract_y
_atom_site_fract_z
Ce1 0.000 0.000 0.000
Sm1 0.250 0.500 0.162
Dy1 0.250 0.291 0.679
Tm1 0.250 0.000 0.389
```

=====

## ScAl6Pd12 (PBE)

Data for a relaxed structure of ScAl6Pd12.

Formation energy from the elements = -0.561 eV/atom

```
data_ScAl6Pd12
_chemical_formula_sum 'Sc3 Al18 Pd36'
_cell_length_a 10.8783
_cell_length_b 10.8783
_cell_length_c 9.7815
_cell_angle_alpha 90.00
_cell_angle_beta 90.00
_cell_angle_gamma 120.00
_symmetry_space_group_name_H-M 'R -3'
_symmetry_Int_Tables_number 148
_symmetry_space_group_name_Hall '-R 3'
loop_
_atom_site_label
_atom_site_fract_x
_atom_site_fract_y
_atom_site_fract_z
Sc1 0.0000 0.0000 0.0000
Al1 0.0451 0.2025 0.6831
Pd1 0.0481 0.2549 0.9300
Pd2 0.0607 0.2479 0.4261
```

=====

The calculation returns the following electronic total energy values, one per record and in order: -4.24 -6.98 -2.74 -5.78 -2.51 -4.28 -3.42 -7.90 -3.15 -6.66 -5.80 -6.10 -5.28 -5.98 -5.09 -5.04 -9.53 -7.14 -4.58 -5.36 eV per atom.
The calculation returns the following total magnetic moment values, one per record and in order: 0.0 0.0 0.0 0.0 0.0 0.0 0.0 0.0 0.0 0.8 0.0 4.1 0.0 3.1 0.9 0.0 0.0 2.4 1.6 0.0 μB per formula unit.